Density functional theory data (GGA+U) for a relaxed KCrNiOF6 crystal.

E_tot: -4.783 eV/atom

a = 7.489 Å, b = 7.564 Å, c = 10.412 Å
α = 90.00°, β = 90.00°, γ = 90.00°
Space group Imma (No. 74)
One atom of each set of equivalent atoms:
K: 0.000 0.000 0.000 [4 per cell]
Cr: 0.000 0.000 0.500 [4 per cell]
Ni: 0.250 0.250 0.250 [4 per cell]
O: 0.000 0.250 0.787 [4 per cell]
F: 0.000 0.250 0.177 [4 per cell]
F: 0.000 0.250 0.562 [4 per cell]
F: 0.187 0.058 0.379 [16 per cell]